Entry 1:
The following is a DFT calculation (PBEsol) of a geometry-optimized Ba2MnRh structure.

Calculated values
The crystal system is tetragonal. The energy of formation from the pure elements comes out at 1.21 eV per formula unit. The symmetry is P4mm (99). For the density, the calculation gives 6.1 Mg/m³. The value obtained for the volume is 117.7 Å³/cell. The value obtained for the distance to the lowest polymorph of the same formula is 0 meV/atom.

Unit cell a=3.572 b=3.572 c=9.220 alpha=90.00 beta=90.00 gamma=90.00
Fractional coordinates of all 4 atoms:
Ba: 0.000 0.000 0.000
Ba: 0.500 0.500 0.420
Mn: 0.000 0.000 0.676
Rh: 0.500 0.500 0.741



Entry 2:
The following is a DFT calculation (PBEsol) of a geometry-optimized AgOs2Pd structure.

Calculated values
The crystal system is cubic. The energy of formation from the pure elements comes out at 3.71 eV per formula unit. The symmetry is Fm-3m (225). For the density, the calculation gives 16.9 Mg/m³. The value obtained for the volume is 58.4 Å³/cell.

Unit cell a=4.356 b=4.356 c=4.356 alpha=60.00 beta=60.00 gamma=60.00
Fractional coordinates of all 4 atoms:
Ag: 0.000 0.000 0.000
Os: 0.250 0.250 0.250
Os: 0.750 0.750 0.750
Pd: 0.500 0.500 0.500



Entry 3:
The following is a DFT calculation (PBEsol) of a geometry-optimized BaTlSb4 structure.

Calculated values
The crystal system is cubic. The symmetry is F-43m (216). For the density, the calculation gives 7.5 Mg/m³. The calculation puts the total energy at -4.16 eV per atom. The value obtained for the volume is 184.1 Å³/cell.

Unit cell a=6.386 b=6.386 c=6.386 alpha=60.00 beta=60.00 gamma=60.00
Fractional coordinates of all 6 atoms:
Ba: 0.000 0.000 0.000
Tl: 0.750 0.750 0.750
Sb: 0.377 0.377 0.377
Sb: 0.377 0.377 0.870
Sb: 0.377 0.870 0.377
Sb: 0.870 0.377 0.377



Entry 4:
The following is a DFT calculation (PBEsol) of a geometry-optimized Ca2AgW structure.

Calculated values
The crystal system is tetragonal. The energy of formation from the pure elements comes out at 2.90 eV per formula unit. The symmetry is P4/mmm (123). For the density, the calculation gives 7.0 Mg/m³. The value obtained for the volume is 87.7 Å³/cell. The value obtained for the distance to the lowest polymorph of the same formula is 7 meV/atom.

Unit cell a=5.471 b=5.471 c=2.930 alpha=90.00 beta=90.00 gamma=90.00
Fractional coordinates of all 4 atoms:
Ca: 0.000 0.500 0.000
Ca: 0.500 0.000 0.000
Ag: 0.000 0.000 0.500
W: 0.500 0.500 0.500